Compound: BaEuDyWO6
Source: the Alexandria database
Functional: GGA+U
Structure: optimized geometry

Geometry as extended XYZ:
```
10
Lattice="0.000 4.227 4.227 4.227 0.000 4.227 4.227 4.227 0.000" Properties=species:S:1:pos:R:3 pbc="T T T"
O 4.227 6.226 4.227
Eu 6.340 6.340 6.340
O 4.227 2.228 4.227
O 4.227 4.227 2.228
Dy 0.000 0.000 0.000
Ba 2.113 2.113 2.113
O 6.226 4.227 4.227
O 2.228 4.227 4.227
O 4.227 4.227 6.226
W 4.227 4.227 4.227
```

Output
The value obtained for the density of states at the Fermi level is 1.01 states/eV/atom. The size of the total moment is 8.00 μB per cell. As for the energy above the most stable polymorph in this dataset: 0.095 eV per atom.